Entry 1:
The following is a DFT calculation (PBE) of CsIn6Hg12 after structural relaxation.

Summary:
**Energy above the most stable polymorph in this dataset**: 3 meV/atom
**Total magnetic moment**: 0.00 μB per atom

Unit cell a=8.6132 b=8.6132 c=8.6132 alpha=104.18 beta=104.18 gamma=104.18
Atoms (fractional coordinates):
Cs 0.0000 0.0000 0.0000
In 0.2758 0.2758 0.7070
In 0.2758 0.7070 0.2758
In 0.2930 0.7242 0.7242
In 0.7070 0.2758 0.2758
In 0.7242 0.2930 0.7242
In 0.7242 0.7242 0.2930
Hg 0.1116 0.5000 0.8884
Hg 0.1116 0.8884 0.5000
Hg 0.1498 0.4013 0.4013
Hg 0.4013 0.1498 0.4013
Hg 0.4013 0.4013 0.1498
Hg 0.5000 0.1116 0.8884
Hg 0.5000 0.8884 0.1116
Hg 0.5987 0.5987 0.8502
Hg 0.5987 0.8502 0.5987
Hg 0.8502 0.5987 0.5987
Hg 0.8884 0.1116 0.5000
Hg 0.8884 0.5000 0.1116

Entry 2:
The following is a DFT calculation (PBE) of CsInHg2 after structural relaxation.

Summary:
**Total magnetic moment**: 0.00 μB per atom

Unit cell a=10.3481 b=10.3481 c=10.3481 alpha=144.35 beta=144.35 gamma=51.31
Atoms (fractional coordinates):
Cs 0.0000 0.0000 0.0000
Cs 0.7500 0.2500 0.5000
In 0.2500 0.7500 0.5000
In 0.5000 0.5000 0.0000
Hg 0.2960 0.6250 0.1710
Hg 0.3750 0.5460 0.6710
Hg 0.4540 0.1250 0.8290
Hg 0.8750 0.7040 0.3290

Entry 3:
The following is a DFT calculation (PBE) of CsIn5Hg3 after structural relaxation.

Summary:
**Total magnetic moment**: 0.00 μB per atom

Unit cell a=8.3740 b=8.3740 c=14.8963 alpha=90.00 beta=90.00 gamma=146.64
Atoms (fractional coordinates):
Cs 0.1733 0.8267 0.7500
Cs 0.8267 0.1733 0.2500
In 0.0000 0.0000 0.0000
In 0.0000 0.0000 0.5000
In 0.1868 0.8132 0.0658
In 0.1868 0.8132 0.4342
In 0.4583 0.5417 0.6442
In 0.4583 0.5417 0.8558
In 0.5417 0.4583 0.1442
In 0.5417 0.4583 0.3558
In 0.8132 0.1868 0.5658
In 0.8132 0.1868 0.9342
Hg 0.1126 0.8874 0.2500
Hg 0.3723 0.6277 0.0523
Hg 0.3723 0.6277 0.4477
Hg 0.6277 0.3723 0.5523
Hg 0.6277 0.3723 0.9477
Hg 0.8874 0.1126 0.7500

Entry 4:
The following is a DFT calculation (PBE) of CsIn2Hg6 after structural relaxation.

Summary:
**Energy above the most stable polymorph in this dataset**: 0 meV/atom
**Total magnetic moment**: 0.00 μB per atom

Unit cell a=9.5579 b=9.5579 c=3.4195 alpha=90.09 beta=90.09 gamma=120.00
Atoms (fractional coordinates):
Cs 0.0000 0.0000 0.0000
In 0.3333 0.6667 0.0000
In 0.6667 0.3333 0.0000
Hg 0.0000 0.3435 0.5000
Hg 0.0000 0.6565 0.5000
Hg 0.3435 0.0000 0.5000
Hg 0.3435 0.3435 0.5000
Hg 0.6565 0.0000 0.5000
Hg 0.6565 0.6565 0.5000

Entry 5:
The following is a DFT calculation (PBE) of Cs2In10Hg after structural relaxation.

Summary:
**Total magnetic moment**: 0.00 μB per atom

Unit cell a=10.0484 b=14.1697 c=7.0246 alpha=90.00 beta=90.00 gamma=90.00
Atoms (fractional coordinates):
Cs 0.0650 0.2372 0.0000
Cs 0.4350 0.7372 0.0000
Cs 0.5650 0.2628 0.0000
Cs 0.9350 0.7628 0.0000
In 0.0743 0.4074 0.5000
In 0.1547 0.8145 0.5000
In 0.2089 0.9716 0.2046
In 0.2089 0.9716 0.7954
In 0.2236 0.6167 0.5000
In 0.2764 0.1167 0.5000
In 0.2911 0.4716 0.2046
In 0.2911 0.4716 0.7954
In 0.3453 0.3145 0.5000
In 0.4257 0.9074 0.5000
In 0.5743 0.0926 0.5000
In 0.6547 0.6855 0.5000
In 0.7089 0.5284 0.2046
In 0.7089 0.5284 0.7954
In 0.7236 0.8833 0.5000
In 0.7764 0.3833 0.5000
In 0.7911 0.0284 0.2046
In 0.7911 0.0284 0.7954
In 0.8453 0.1855 0.5000
In 0.9257 0.5926 0.5000
Hg 0.0000 0.0000 0.5000
Hg 0.5000 0.5000 0.5000

Entry 6:
The following is a DFT calculation (PBE) of CsInHg3 after structural relaxation.

Summary:
**Energy above the most stable polymorph in this dataset**: 52 meV/atom
**Total magnetic moment**: 0.00 μB per atom

Unit cell a=5.8085 b=5.8085 c=5.8085 alpha=90.00 beta=90.00 gamma=90.00
Atoms (fractional coordinates):
Cs 0.0000 0.0000 0.0000
In 0.5000 0.5000 0.5000
Hg 0.0000 0.5000 0.5000
Hg 0.5000 0.0000 0.5000
Hg 0.5000 0.5000 0.0000

Entry 7:
The following is a DFT calculation (PBE) of CsIn3Hg6 after structural relaxation.

Summary:
**Total magnetic moment**: 0.00 μB per atom

Unit cell a=7.4713 b=7.5212 c=7.6734 alpha=62.03 beta=61.94 gamma=66.39
Atoms (fractional coordinates):
Cs 0.0000 0.0000 0.0000
In 0.2281 0.3204 0.2487
In 0.6108 0.1504 0.6565
In 0.7633 0.6281 0.7903
Hg 0.0640 0.9271 0.5139
Hg 0.2331 0.4819 0.5235
Hg 0.4067 0.5232 0.7972
Hg 0.4835 0.8745 0.1253
Hg 0.5038 0.9397 0.4833
Hg 0.7991 0.4502 0.2218

Entry 8:
The following is a DFT calculation (PBE) of Cs2In2Hg5 after structural relaxation.

Summary:
**Total magnetic moment**: 0.00 μB per atom

Unit cell a=5.8219 b=5.8219 c=9.8033 alpha=90.00 beta=90.00 gamma=93.07
Atoms (fractional coordinates):
Cs 0.0000 0.0000 0.0000
Cs 0.0000 0.0000 0.5000
In 0.5000 0.5000 0.1614
In 0.5000 0.5000 0.8386
Hg 0.0000 0.5000 0.2440
Hg 0.0000 0.5000 0.7560
Hg 0.5000 0.0000 0.2440
Hg 0.5000 0.0000 0.7560
Hg 0.5000 0.5000 0.5000

Entry 9:
The following is a DFT calculation (PBE) of Cs3In2Hg7 after structural relaxation.

Summary:
**Total magnetic moment**: 0.00 μB per atom

Unit cell a=14.6651 b=14.6651 c=5.6746 alpha=90.00 beta=90.00 gamma=157.58
Atoms (fractional coordinates):
Cs 0.0000 0.0000 0.0000
Cs 0.1809 0.8191 0.0000
Cs 0.8191 0.1809 0.0000
In 0.3849 0.6151 0.5000
In 0.6151 0.3849 0.5000
Hg 0.0868 0.9132 0.5000
Hg 0.2756 0.7244 0.5000
Hg 0.4118 0.5882 0.0000
Hg 0.5000 0.5000 0.5000
Hg 0.5882 0.4118 0.0000
Hg 0.7244 0.2756 0.5000
Hg 0.9132 0.0868 0.5000

Entry 10:
The following is a DFT calculation (PBE) of CsInHg5 after structural relaxation.

Summary:
**Energy above the most stable polymorph in this dataset**: 48 meV/atom
**Total magnetic moment**: 0.00 μB per atom

Unit cell a=5.3519 b=5.3519 c=8.6162 alpha=90.00 beta=90.00 gamma=90.00
Atoms (fractional coordinates):
Cs 0.0000 0.0000 0.0000
In 0.0000 0.0000 0.5000
Hg 0.0000 0.5000 0.3079
Hg 0.0000 0.5000 0.6921
Hg 0.5000 0.0000 0.3079
Hg 0.5000 0.0000 0.6921
Hg 0.5000 0.5000 0.0000

Entry 11:
The following is a DFT calculation (PBE) of CsIn3Hg2 after structural relaxation.

Summary:
**Energy above the most stable polymorph in this dataset**: 0 meV/atom
**Total magnetic moment**: 0.00 μB per atom

Unit cell a=9.5408 b=9.5408 c=9.7861 alpha=112.36 beta=112.36 gamma=29.22
Atoms (fractional coordinates):
Cs 0.1524 0.1524 0.0558
Cs 0.8476 0.8476 0.9442
In 0.0388 0.0388 0.3726
In 0.3173 0.3173 0.5569
In 0.4172 0.4172 0.3476
In 0.5828 0.5828 0.6524
In 0.6827 0.6827 0.4431
In 0.9612 0.9612 0.6274
Hg 0.1919 0.1919 0.6888
Hg 0.4754 0.4754 0.8367
Hg 0.5246 0.5246 0.1633
Hg 0.8081 0.8081 0.3112

Entry 12:
The following is a DFT calculation (PBE) of CsInHg5 after structural relaxation.

Summary:
**Energy above the most stable polymorph in this dataset**: 0 meV/atom
**Total magnetic moment**: 0.00 μB per atom

Unit cell a=6.9179 b=6.9179 c=6.0644 alpha=115.60 beta=115.60 gamma=72.10
Atoms (fractional coordinates):
Cs 0.0000 0.0000 0.0000
In 0.5000 0.5000 0.5000
Hg 0.0080 0.3979 0.7024
Hg 0.3979 0.0080 0.7024
Hg 0.5000 0.5000 0.0000
Hg 0.6021 0.9920 0.2976
Hg 0.9920 0.6021 0.2976

Number 1: calculated volume 29.90 Å³/atom, ΔE_f -61 kJ/mol of formula units. Number 2: calculated volume 46.81 Å³/atom, ΔE_f -31 kJ/mol of formula units. Number 3: calculated volume 31.91 Å³/atom, ΔE_f -70 kJ/mol of formula units. Number 4: calculated volume 30.06 Å³/atom, ΔE_f -21 kJ/mol of formula units. Number 5: calculated volume 38.47 Å³/atom, ΔE_f -8 kJ/mol of formula units. Number 6: calculated volume 39.19 Å³/atom, ΔE_f -62 kJ/mol of formula units. Number 7: calculated volume 32.70 Å³/atom, ΔE_f -52 kJ/mol of formula units. Number 8: calculated volume 36.87 Å³/atom, ΔE_f -129 kJ/mol of formula units. Number 9: calculated volume 38.79 Å³/atom, ΔE_f -202 kJ/mol of formula units. Number 10: calculated volume 35.26 Å³/atom, ΔE_f -58 kJ/mol of formula units. Number 11: calculated volume 33.32 Å³/atom, ΔE_f -75 kJ/mol of formula units. Number 12: calculated volume 33.35 Å³/atom, ΔE_f -90 kJ/mol of formula units.